Below is crystalline Pm5HoAl2 at its relaxed geometry, with properties calculated at the PBE level.

Computed properties:
- DOS at the Fermi energy: 1.32 states/eV per atom
- SG: Immm, No. 71
- ΔE_f: -62 meV/atom

a b c (Å): 8.310 8.310 8.310
angles (deg): 154.73 100.20 85.33
Atoms (fractional coordinates):
1 Pm 0.000 0.000 0.000
2 Pm 0.077 0.359 0.718
3 Pm 0.360 0.641 0.718
4 Pm 0.640 0.359 0.282
5 Pm 0.923 0.641 0.282
6 Ho 0.500 0.000 0.500
7 Al 0.278 0.278 0.000
8 Al 0.722 0.722 0.000

Below is crystalline Pm2HoAl2 at its relaxed geometry, with properties calculated at the PBE level.

Computed properties:
- DOS at the Fermi energy: 0.89 states/eV per atom
- SG: Immm, No. 71
- ΔE_f: -315 meV/atom

a b c (Å): 5.816 5.816 5.816
angles (deg): 130.16 108.70 91.98
Atoms (fractional coordinates):
1 Pm 0.198 0.198 0.000
2 Pm 0.802 0.802 0.000
3 Ho 0.500 0.000 0.500
4 Al 0.198 0.500 0.698
5 Al 0.802 0.500 0.302

- ΔE_f of number 1 (Pm5HoAl2)?
  -62 meV/atom

Please write out number 2 again, unchanged.
Below is crystalline Pm2HoAl2 at its relaxed geometry, with properties calculated at the PBE level.

Computed properties:
- DOS at the Fermi energy: 0.89 states/eV per atom
- SG: Immm, No. 71
- ΔE_f: -315 meV/atom

a b c (Å): 5.816 5.816 5.816
angles (deg): 130.16 108.70 91.98
Atoms (fractional coordinates):
1 Pm 0.198 0.198 0.000
2 Pm 0.802 0.802 0.000
3 Ho 0.500 0.000 0.500
4 Al 0.198 0.500 0.698
5 Al 0.802 0.500 0.302

- Among the records above, which one has the highest ΔE_f?
  Pm5HoAl2